A relaxed structure of MnFe3Pd. Source: Alexandria, functional GGA-PBE.

As for the energy above the most stable polymorph in this dataset: 0.000 eV/atom. Its formation energy is 1.009 eV per atom.

The space group is Pm-3m (No. 221) and the conventional cell measures 4.180, 4.180 and 4.180 Å, with angles of 90.00, 90.00 and 90.00 degrees. Symmetry generates all atoms from Mn at (0.000, 0.000, 0.000), Fe at (0.000, 0.000, 0.500) and Pd at (0.500, 0.500, 0.500).


A relaxed structure of LiAsCl2. Source: Alexandria, functional GGA-PBE.

As for the energy above the most stable polymorph in this dataset: 0.427 eV/atom. The calculation puts the formation energy (no corrections) at -453 meV/atom.

The space group is P4/mmm (No. 123) and the conventional cell measures 3.131, 3.131 and 7.747 Å, with angles of 90.00, 90.00 and 90.00 degrees. Symmetry generates all atoms from Li at (0.000, 0.000, 0.000), As at (0.000, 0.000, 0.500) and Cl at (0.500, 0.500, 0.205).


A relaxed structure of TbPrCoI. Source: Alexandria, functional GGA-PBE.

The calculation puts the formation energy (no corrections) at -565 meV/atom.

The space group is R3m (No. 160, hexagonal axes) and the conventional cell measures 4.0153, 4.0153 and 24.2198 Å, with angles of 90.00, 90.00 and 120.00 degrees. Symmetry generates all atoms from Tb at (0.0000, 0.0000, 0.0000), Pr at (0.0000, 0.0000, 0.7873), Co at (0.0000, 0.0000, 0.3916) and I at (0.0000, 0.0000, 0.5643).


A relaxed structure of YCd2Br. Source: Alexandria, functional GGA-PBE.

As for the energy above the most stable polymorph in this dataset: 0.113 eV/atom. The calculation puts the formation energy (no corrections) at -416 meV/atom.

The space group is C2/m (No. 12) and the conventional cell measures 5.852, 10.188 and 3.600 Å, with angles of 90.00, 90.33 and 90.00 degrees. Symmetry generates all atoms from Y at (0.000, 0.000, 0.000), Cd at (0.250, 0.250, 0.500) and Br at (0.000, 0.500, 0.000).


A relaxed structure of Na2NpSc2O6. Source: Alexandria, functional GGA-PBE.

The calculation puts the formation energy (no corrections) at -2809 meV/atom.

The space group is C2/m (No. 12) and the conventional cell measures 5.669, 9.901 and 5.940 Å, with angles of 90.00, 109.28 and 90.00 degrees. Symmetry generates all atoms from Na at (0.000, 0.176, 0.000), Np at (0.000, 0.000, 0.500), Sc at (0.000, 0.333, 0.500), O at (0.232, 0.177, 0.695) and O at (0.234, 0.500, 0.691).


A relaxed structure of Fe8SiNi2. Source: Alexandria, functional GGA-PBE.

The calculation puts the formation energy (no corrections) at 293 meV/atom.

The space group is C2/m (No. 12) and the conventional cell measures 9.084, 7.977 and 4.113 Å, with angles of 90.00, 104.53 and 90.00 degrees. Symmetry generates all atoms from Fe at (0.079, 0.000, 0.300), Fe at (0.093, 0.246, 0.815), Fe at (0.231, 0.000, 0.891), Si at (0.000, 0.500, 0.000) and Ni at (0.138, 0.500, 0.536).